A plane-wave DFT calculation with GGA+U was carried out for an optimized crystal structure of MnCuSbO6.

Results
electronic total energy = -6.080 eV/atom
space-group type = P4_2nm, No. 102
D(E_F) = 7.391 states/eV/cell

```
MnCuSbO6
1.0
4.5959 0.0000 0.0000
0.0000 4.5959 0.0000
0.0000 0.0000 9.1509
Mn Cu Sb O
2 2 2 12
direct
0.0000 0.0000 0.0000
0.5000 0.5000 0.5000
0.0000 0.0000 0.6674
0.5000 0.5000 0.1674
0.0000 0.0000 0.3349
0.5000 0.5000 0.8349
0.1890 0.1890 0.8379
0.1909 0.1909 0.1631
0.1990 0.1990 0.5018
0.3010 0.6990 0.0018
0.3091 0.6909 0.6631
0.3110 0.6890 0.3379
0.6890 0.3110 0.3379
0.6909 0.3091 0.6631
0.6990 0.3010 0.0018
0.8010 0.8010 0.5018
0.8091 0.8091 0.1631
0.8110 0.8110 0.8379
```

---

A plane-wave DFT calculation with GGA+U was carried out for an optimized crystal structure of MnCu2SbO4.

Results
electronic total energy = -5.857 eV/atom
space-group type = P-3m1, No. 164
D(E_F) = 2.719 states/eV/cell

```
MnCu2SbO4
1.0
3.3724 0.0000 0.0000
-1.6862 2.9206 0.0000
0.0000 0.0000 11.6589
Mn Cu Sb O
1 2 1 4
direct
0.0000 0.0000 0.0000
0.3333 0.6667 0.7646
0.6667 0.3333 0.2354
0.0000 0.0000 0.5000
0.3333 0.6667 0.6058
0.3333 0.6667 0.9191
0.6667 0.3333 0.0809
0.6667 0.3333 0.3942
```

---

A plane-wave DFT calculation with GGA+U was carried out for an optimized crystal structure of MnCuSe2O6.

Results
electronic total energy = -5.728 eV/atom
space-group type = P2_1/c, No. 14
D(E_F) = 0.389 states/eV/cell

```
MnCuSe2O6
1.0
5.3465 0.0000 0.0000
0.0000 6.1635 0.0000
-4.9794 0.0000 7.6713
Mn Cu Se O
2 2 4 12
direct
0.0000 0.0000 0.0000
0.0000 0.5000 0.5000
0.5000 0.0000 0.5000
0.5000 0.5000 0.0000
0.2444 0.0380 0.7461
0.2444 0.4620 0.2461
0.7556 0.5380 0.7539
0.7556 0.9620 0.2539
0.0308 0.6929 0.9219
0.0308 0.8071 0.4219
0.3206 0.1978 0.9248
0.3206 0.3022 0.4248
0.4371 0.5745 0.7641
0.4371 0.9255 0.2641
0.5629 0.0745 0.7359
0.5629 0.4255 0.2359
0.6794 0.6978 0.5752
0.6794 0.8022 0.0752
0.9692 0.1929 0.5781
0.9692 0.3071 0.0781
```

---

A plane-wave DFT calculation with GGA+U was carried out for an optimized crystal structure of MnCu2SeO8.

Results
electronic total energy = -5.293 eV/atom
space-group type = I-4m2, No. 119
D(E_F) = 6.289 states/eV/cell

```
MnCu2SeO8
1.0
-3.2737 3.2737 3.2347
3.2737 -3.2737 3.2347
3.2737 3.2737 -3.2347
Mn Cu Se O
1 2 1 8
direct
0.0000 0.0000 0.0000
0.5000 0.5000 0.0000
0.7500 0.2500 0.5000
0.2500 0.7500 0.5000
0.2801 0.5819 0.6983
0.3542 0.1543 0.1999
0.4181 0.1164 0.6983
0.4181 0.7199 0.3017
0.8457 0.0456 0.1999
0.8457 0.6458 0.8001
0.8836 0.5819 0.3017
0.9544 0.1543 0.8001
```

---

A plane-wave DFT calculation with GGA+U was carried out for an optimized crystal structure of MnCuSeO5.

Results
electronic total energy = -5.825 eV/atom
space-group type = C2/c, No. 15
D(E_F) = 6.403 states/eV/cell

```
MnCuSeO5
1.0
3.9183 -4.2363 0.0000
3.9183 4.2363 0.0000
-3.5208 0.0000 6.5042
Mn Cu Se O
2 2 2 10
direct
0.0000 0.0000 0.0000
0.0000 0.0000 0.5000
0.2930 0.7070 0.7500
0.7070 0.2930 0.2500
0.3691 0.6309 0.2500
0.6309 0.3691 0.7500
0.0754 0.9246 0.7500
0.2569 0.7386 0.0572
0.2614 0.7431 0.4428
0.3110 0.3237 0.6575
0.3237 0.3110 0.1575
0.6763 0.6890 0.8425
0.6890 0.6763 0.3425
0.7386 0.2569 0.5572
0.7431 0.2614 0.9428
0.9246 0.0754 0.2500
```

---

A plane-wave DFT calculation with GGA+U was carried out for an optimized crystal structure of MnCuSe2O8.

Results
electronic total energy = -5.532 eV/atom
space-group type = P-3m1, No. 164
D(E_F) = 4.206 states/eV/cell

```
MnCuSe2O8
1.0
5.4610 0.0000 0.0000
-2.7305 4.7293 0.0000
0.0000 0.0000 6.2823
Mn Cu Se O
1 1 2 8
direct
0.0000 0.0000 0.0000
0.0000 0.0000 0.5000
0.3333 0.6667 0.1974
0.6667 0.3333 0.8026
0.1618 0.3236 0.2761
0.1618 0.8382 0.2761
0.3236 0.1618 0.7239
0.3333 0.6667 0.9362
0.6667 0.3333 0.0638
0.6764 0.8382 0.2761
0.8382 0.1618 0.7239
0.8382 0.6764 0.7239
```

---

A plane-wave DFT calculation with GGA+U was carried out for an optimized crystal structure of Sr4Mn2Cu3Se4O4.

Results
electronic total energy = -5.573 eV/atom
space-group type = C222, No. 21
D(E_F) = 5.325 states/eV/cell

```
Sr4Mn2Cu3Se4O4
1.0
2.9108 -8.9961 0.0000
2.9108 8.9961 0.0000
0.0000 0.0000 5.8201
Sr Mn Cu Se O
4 2 3 4 4
direct
0.0941 0.4043 0.2492
0.4043 0.0941 0.7508
0.5957 0.9059 0.7508
0.9059 0.5957 0.2492
0.0000 0.5000 0.7504
0.5000 0.0000 0.2496
0.0000 0.0000 0.0000
0.0000 0.0000 0.5000
0.5000 0.5000 0.0000
0.1711 0.3304 0.7491
0.3304 0.1711 0.2509
0.6696 0.8289 0.2509
0.8289 0.6696 0.7491
0.2498 0.7502 0.5000
0.2518 0.7482 0.0000
0.7482 0.2518 0.0000
0.7502 0.2498 0.5000
```

---

A plane-wave DFT calculation with GGA+U was carried out for an optimized crystal structure of Mn2CuSiO6.

Results
electronic total energy = -7.030 eV/atom
space-group type = P1, No. 1
D(E_F) = 4.187 states/eV/cell

```
Mn2CuSiO6
1.0
4.8980 0.0000 0.0000
2.3944 4.3614 0.0000
0.0471 2.5669 4.6902
Mn Cu Si O
2 1 1 6
direct
0.0000 0.0000 0.0000
0.4762 0.0468 0.4436
0.2708 0.4678 0.8353
0.7914 0.4147 0.3982
0.0585 0.2542 0.1944
0.1715 0.2391 0.6507
0.4453 0.4946 0.1948
0.5759 0.5654 0.6378
0.7143 0.8405 0.2138
0.8451 0.9900 0.6363
```

---

A plane-wave DFT calculation with GGA+U was carried out for an optimized crystal structure of SmMn4Cu3O12.

Results
electronic total energy = -6.745 eV/atom
space-group type = Im-3, No. 204
D(E_F) = 7.954 states/eV/cell

```
SmMn4Cu3O12
1.0
-3.7179 3.7179 3.7179
3.7179 -3.7179 3.7179
3.7179 3.7179 -3.7179
Sm Mn Cu O
1 4 3 12
direct
0.0000 0.0000 0.0000
0.0000 0.0000 0.5000
0.0000 0.5000 0.0000
0.5000 0.0000 0.0000
0.5000 0.5000 0.5000
0.0000 0.5000 0.5000
0.5000 0.0000 0.5000
0.5000 0.5000 0.0000
0.1346 0.8299 0.3047
0.1701 0.3047 0.4749
0.1701 0.6953 0.8654
0.3047 0.1346 0.8299
0.3047 0.4749 0.1701
0.4749 0.1701 0.3047
0.5251 0.8299 0.6953
0.6953 0.5251 0.8299
0.6953 0.8654 0.1701
0.8299 0.3047 0.1346
0.8299 0.6953 0.5251
0.8654 0.1701 0.6953
```

---

A plane-wave DFT calculation with GGA+U was carried out for an optimized crystal structure of Sm2MnCuO6.

Results
electronic total energy = -7.349 eV/atom
space-group type = P2_1/c, No. 14
D(E_F) = 3.968 states/eV/cell

```
Sm2MnCuO6
1.0
5.4013 0.0000 0.0000
0.0000 5.7958 0.0000
-5.3598 0.0000 7.4917
Sm Mn Cu O
4 2 2 12
direct
0.2319 0.0735 0.2496
0.2319 0.4265 0.7496
0.7681 0.5735 0.2504
0.7681 0.9265 0.7504
0.5000 0.0000 0.0000
0.5000 0.5000 0.5000
0.0000 0.0000 0.5000
0.0000 0.5000 0.0000
0.1606 0.1800 0.9520
0.1606 0.3200 0.4520
0.2664 0.7106 0.9498
0.2664 0.7894 0.4498
0.3479 0.0302 0.7498
0.3479 0.4698 0.2498
0.6521 0.5302 0.7502
0.6521 0.9698 0.2502
0.7336 0.2106 0.5502
0.7336 0.2894 0.0502
0.8394 0.6800 0.5480
0.8394 0.8200 0.0480
```

---

A plane-wave DFT calculation with GGA+U was carried out for an optimized crystal structure of Sr4Mn2CuO9.

Results
electronic total energy = -6.498 eV/atom
space-group type = P1, No. 1

```
Sr4Mn2CuO9
1.0
7.9311 0.0000 0.0000
0.0092 9.7018 0.0000
0.0289 4.8112 8.4355
Sr Mn Cu O
12 6 3 27
direct
0.0000 0.0000 0.0000
0.0000 0.3466 0.2954
0.2444 0.3274 0.6522
0.2465 0.0049 0.3011
0.2500 0.6589 0.9781
0.4892 0.3021 0.3131
0.4978 0.0175 0.9567
0.4982 0.6628 0.6675
0.7410 0.6921 0.9795
0.7464 0.9717 0.3323
0.7517 0.3253 0.6262
0.9969 0.6361 0.6391
0.0821 0.3344 0.9694
0.1744 0.6746 0.2996
0.3202 0.0016 0.6345
0.4115 0.3347 0.9666
0.6528 0.0004 0.6352
0.8419 0.6698 0.3036
0.5077 0.6047 0.3649
0.7468 0.3320 0.0359
0.9866 0.9395 0.7019
0.0052 0.8104 0.3299
0.0055 0.6768 0.1458
0.0071 0.5034 0.4514
0.1738 0.0182 0.7792
0.1754 0.8380 0.6515
0.2137 0.1598 0.4589
0.2458 0.3385 0.1217
0.2457 0.4907 0.8231
0.2483 0.1818 0.9769
0.2807 0.8504 0.1414
0.3171 0.6582 0.4633
0.3217 0.5307 0.2819
0.4863 0.8481 0.8058
0.4889 0.1544 0.6300
0.4889 0.9721 0.4970
0.5234 0.3397 0.7938
0.5548 0.1743 0.1251
0.5560 0.4878 0.9772
0.6969 0.5187 0.2917
0.6999 0.6496 0.4738
0.7241 0.8461 0.1456
0.7692 0.1589 0.4600
0.7958 0.0126 0.7875
0.7960 0.8308 0.6557
0.9345 0.4912 0.9696
0.9406 0.1784 0.1346
0.9700 0.3251 0.8039
```

---

A plane-wave DFT calculation with GGA+U was carried out for an optimized crystal structure of SrMn4Cu3O12.

Results
electronic total energy = -6.461 eV/atom
space-group type = Im-3, No. 204
D(E_F) = 4.171 states/eV/cell

```
SrMn4Cu3O12
1.0
-3.7251 3.7251 3.7251
3.7251 -3.7251 3.7251
3.7251 3.7251 -3.7251
Sr Mn Cu O
1 4 3 12
direct
0.0000 0.0000 0.0000
0.0000 0.0000 0.5000
0.0000 0.5000 0.0000
0.5000 0.0000 0.0000
0.5000 0.5000 0.5000
0.0000 0.5000 0.5000
0.5000 0.0000 0.5000
0.5000 0.5000 0.0000
0.1408 0.3134 0.8273
0.1727 0.4861 0.3134
0.1727 0.8592 0.6866
0.3134 0.1727 0.4861
0.3134 0.8273 0.1408
0.4861 0.3134 0.1727
0.5139 0.6866 0.8273
0.6866 0.1727 0.8592
0.6866 0.8273 0.5139
0.8273 0.1408 0.3134
0.8273 0.5139 0.6866
0.8592 0.6866 0.1727
```

---

A plane-wave DFT calculation with GGA+U was carried out for an optimized crystal structure of Sr3MnCu2O6.

Results
electronic total energy = -5.889 eV/atom
space-group type = P-3m1, No. 164
D(E_F) = 2.971 states/eV/cell

```
Sr3MnCu2O6
1.0
5.7508 0.0000 0.0000
-2.8754 4.9803 0.0000
0.0000 0.0000 6.3173
Sr Mn Cu O
3 1 2 6
direct
0.0000 0.0000 0.0000
0.3333 0.6667 0.6328
0.6667 0.3333 0.3672
0.0000 0.0000 0.5000
0.3333 0.6667 0.1733
0.6667 0.3333 0.8267
0.1620 0.3240 0.3104
0.1620 0.8380 0.3104
0.3240 0.1620 0.6896
0.6760 0.8380 0.3104
0.8380 0.1620 0.6896
0.8380 0.6760 0.6896
```

---

A plane-wave DFT calculation with GGA+U was carried out for an optimized crystal structure of Sr2MnCu3O6.

Results
electronic total energy = -5.580 eV/atom
space-group type = P4/mmm, No. 123
D(E_F) = 8.707 states/eV/cell

```
Sr2MnCu3O6
1.0
3.7439 0.0000 0.0000
0.0000 3.7439 0.0000
0.0000 0.0000 11.5764
Sr Mn Cu O
2 1 3 6
direct
0.0000 0.0000 0.2039
0.0000 0.0000 0.7961
0.0000 0.0000 0.5000
0.5000 0.5000 0.0000
0.5000 0.5000 0.3672
0.5000 0.5000 0.6328
0.0000 0.5000 0.3806
0.0000 0.5000 0.6194
0.5000 0.0000 0.3806
0.5000 0.0000 0.6194
0.5000 0.5000 0.1566
0.5000 0.5000 0.8434
```

---

A plane-wave DFT calculation with GGA+U was carried out for an optimized crystal structure of Sr3MnCu2O9.

Results
electronic total energy = -5.895 eV/atom
space-group type = P-3m1, No. 164
D(E_F) = 10.274 states/eV/cell

```
Sr3MnCu2O9
1.0
5.5089 0.0000 0.0000
-2.7545 4.7709 0.0000
0.0000 0.0000 6.7346
Sr Mn Cu O
3 1 2 9
direct
0.0000 0.0000 0.0000
0.3333 0.6667 0.6695
0.6667 0.3333 0.3305
0.0000 0.0000 0.5000
0.3333 0.6667 0.1646
0.6667 0.3333 0.8354
0.0000 0.5000 0.0000
0.1649 0.3298 0.3368
0.1649 0.8351 0.3368
0.3298 0.1649 0.6632
0.5000 0.0000 0.0000
0.5000 0.5000 0.0000
0.6702 0.8351 0.3368
0.8351 0.1649 0.6632
0.8351 0.6702 0.6632
```

---

A plane-wave DFT calculation with GGA+U was carried out for an optimized crystal structure of TaMn2CuO6.

Results
electronic total energy = -7.855 eV/atom
space-group type = P1, No. 1
D(E_F) = 3.906 states/eV/cell

```
TaMn2CuO6
1.0
5.2311 0.0000 0.0000
2.5904 4.5520 0.0000
0.0660 2.9478 4.9367
Ta Mn Cu O
1 2 1 6
direct
0.0000 0.0000 0.0000
0.2054 0.5875 0.6119
0.6974 0.6044 0.0908
0.4420 0.1033 0.3460
0.0857 0.0858 0.3057
0.2765 0.1009 0.8256
0.4090 0.5137 0.2928
0.6272 0.4403 0.8468
0.8039 0.7784 0.2931
0.9322 0.7719 0.8458
```

---

A plane-wave DFT calculation with GGA+U was carried out for an optimized crystal structure of MnCuTc2O.

Results
electronic total energy = -5.228 eV/atom
space-group type = P4/mmm, No. 123
D(E_F) = 6.824 states/eV/cell

```
MnCuTc2O
1.0
4.3885 0.0000 0.0000
0.0000 4.3885 0.0000
0.0000 0.0000 4.3809
Mn Cu Tc O
1 1 2 1
direct
0.0000 0.0000 0.0000
0.0000 0.0000 0.5000
0.0000 0.5000 0.0000
0.5000 0.0000 0.0000
0.5000 0.5000 0.5000
```

---

A plane-wave DFT calculation with GGA+U was carried out for an optimized crystal structure of Mn2CuTcO.

Results
space-group type = P4/mmm, No. 123
D(E_F) = 2.514 states/eV/cell
energy relative to the lowest polymorph listed for this composition = 0.620 eV per atom

```
Mn2CuTcO
1.0
4.6858 0.0000 0.0000
0.0000 4.6858 0.0000
0.0000 0.0000 4.5779
Mn Cu Tc O
2 1 1 1
direct
0.0000 0.5000 0.0000
0.5000 0.0000 0.0000
0.0000 0.0000 0.0000
0.0000 0.0000 0.5000
0.5000 0.5000 0.5000
```